[1]
! Ba2SmZn | the Alexandria database | PBE-GGA | optimized geometry; values from VASP
&SYSTEM
  ibrav = 0, nat = 4, ntyp = 3
/
ATOMIC_SPECIES
Zn 65.41 Zn.upf
Ba 137.33 Ba.upf
Sm 150.36 Sm.upf
ATOMIC_POSITIONS crystal
Zn 0.500 0.500 0.500
Ba 0.099 0.099 0.702
Ba 0.901 0.901 0.298
Sm 0.000 0.000 0.000
CELL_PARAMETERS angstrom
-1.715 -3.031 -1.774
2.104 -2.373 -2.285
2.683 -8.991 8.463
! ΔE_f (eV per atom): 0.31
! Symmetry: R-3m, No. 166
! Fermi-level density of states (states/eV per cell): 6.13

[2]
! Ba3Sn | the Alexandria database | PBE-GGA | optimized geometry; values from VASP
&SYSTEM
  ibrav = 0, nat = 4, ntyp = 2
/
ATOMIC_SPECIES
Ba 137.33 Ba.upf
Sn 118.71 Sn.upf
ATOMIC_POSITIONS crystal
Ba 0.750 0.250 0.500
Ba 0.250 0.750 0.500
Ba 0.500 0.500 0.000
Sn 0.000 0.000 0.000
CELL_PARAMETERS angstrom
5.519 0.000 0.000
0.000 5.519 0.000
-2.760 -2.760 5.681
! Distance to the lowest polymorph of the same formula (eV per formula unit): 0.40
! ΔE_f (eV per atom): -0.28
! Symmetry: I4/mmm, No. 139
! Fermi-level density of states (states/eV per cell): 3.91

[3]
! Ba2Sn | the Alexandria database | PBE-GGA | optimized geometry; values from VASP
&SYSTEM
  ibrav = 0, nat = 12, ntyp = 2
/
ATOMIC_SPECIES
Ba 137.33 Ba.upf
Sn 118.71 Sn.upf
ATOMIC_POSITIONS crystal
Ba 0.750 0.347 0.422
Ba 0.250 0.653 0.578
Ba 0.750 0.847 0.078
Ba 0.250 0.153 0.922
Ba 0.750 0.478 0.822
Ba 0.250 0.522 0.178
Ba 0.750 0.978 0.678
Ba 0.250 0.022 0.322
Sn 0.750 0.252 0.105
Sn 0.250 0.748 0.895
Sn 0.750 0.752 0.395
Sn 0.250 0.248 0.605
CELL_PARAMETERS angstrom
-4.697 -1.864 2.571
2.875 -8.327 -0.785
4.899 0.794 9.523
! ΔE_f (eV per atom): -0.61
! Symmetry: Pnma, No. 62
! Fermi-level density of states (states/eV per cell): 0.17

[4]
! BaSn2 | the Alexandria database | PBE-GGA | optimized geometry; values from VASP
&SYSTEM
  ibrav = 0, nat = 6, ntyp = 2
/
ATOMIC_SPECIES
Ba 137.33 Ba.upf
Sn 118.71 Sn.upf
ATOMIC_POSITIONS crystal
Ba 0.000 0.000 0.000
Ba 0.250 0.250 0.250
Sn 0.125 0.625 0.625
Sn 0.625 0.125 0.625
Sn 0.625 0.625 0.625
Sn 0.625 0.625 0.125
CELL_PARAMETERS angstrom
-4.683 3.690 2.673
-5.507 -2.771 2.164
-1.175 -0.355 6.417
! ΔE_f (eV per atom): -0.57
! Symmetry: Fd-3m, No. 227

[5]
! Ba2Sn17 | the Alexandria database | PBE-GGA | optimized geometry; values from VASP
&SYSTEM
  ibrav = 0, nat = 19, ntyp = 2
/
ATOMIC_SPECIES
Ba 137.33 Ba.upf
Sn 118.71 Sn.upf
ATOMIC_POSITIONS crystal
Ba 0.335 0.335 0.335
Ba 0.665 0.665 0.665
Sn 0.644 0.644 0.150
Sn 0.150 0.644 0.644
Sn 0.904 0.904 0.904
Sn 0.096 0.096 0.096
Sn 0.000 0.000 0.500
Sn 0.000 0.500 0.000
Sn 0.500 0.000 0.000
Sn 0.292 0.708 0.000
Sn 0.708 0.000 0.292
Sn 0.000 0.292 0.708
Sn 0.708 0.292 0.000
Sn 0.292 0.000 0.708
Sn 0.000 0.708 0.292
Sn 0.850 0.356 0.356
Sn 0.356 0.356 0.850
Sn 0.356 0.850 0.356
Sn 0.644 0.150 0.644
CELL_PARAMETERS angstrom
8.465 0.109 0.096
1.308 8.364 0.096
1.308 1.134 8.287
! Distance to the lowest polymorph of the same formula (eV per formula unit): 0.00
! ΔE_f (eV per atom): -0.11
! Symmetry: R-3m, No. 166
! Fermi-level density of states (states/eV per cell): 8.00

[6]
! BaSn6 | the Alexandria database | PBE-GGA | optimized geometry; values from VASP
&SYSTEM
  ibrav = 0, nat = 7, ntyp = 2
/
ATOMIC_SPECIES
Ba 137.33 Ba.upf
Sn 118.71 Sn.upf
ATOMIC_POSITIONS crystal
Ba 0.000 0.000 0.000
Sn 0.250 0.750 0.500
Sn 0.500 0.750 0.250
Sn 0.250 0.500 0.750
Sn 0.750 0.250 0.500
Sn 0.500 0.250 0.750
Sn 0.750 0.500 0.250
CELL_PARAMETERS angstrom
-6.057 -2.700 -2.443
4.791 -5.157 0.635
-1.121 2.965 6.317
! Distance to the lowest polymorph of the same formula (eV per formula unit): 0.00
! ΔE_f (eV per atom): -0.04
! Symmetry: Im-3m, No. 229
! Fermi-level density of states (states/eV per cell): 3.82